## ScGe2Pd4 (PBE-GGA)

Data for crystalline ScGe2Pd4 at its relaxed geometry.

The energy relative to the elements comes out at 0.175 eV/atom.

The space group is I4/mmm (No. 139) and the conventional cell measures 4.869, 4.869 and 12.427 Å, with angles of 90.00, 90.00 and 90.00 degrees. The inequivalent atoms are Sc at (0.000, 0.000, 0.000), Ge at (0.000, 0.000, 0.395), Pd at (0.000, 0.000, 0.198) and Pd at (0.000, 0.500, 0.000).

=====

## NpTl2Se3 (PBE-GGA)

Data for crystalline NpTl2Se3 at its relaxed geometry.

The space group is Fddd (No. 70, origin choice 2) and the conventional cell measures 9.244, 12.487 and 25.548 Å, with angles of 90.00, 90.00 and 90.00 degrees. The inequivalent atoms are Np at (0.125, 0.125, 0.040), Tl at (0.125, 0.125, 0.378), Tl at (0.125, 0.125, 0.548), Se at (0.071, 0.375, 0.375) and Se at (0.107, 0.354, 0.218).

=====

## PmGdTmAl (PBE-GGA)

Data for crystalline PmGdTmAl at its relaxed geometry.

The energy relative to the elements comes out at -0.085 eV/atom.

The space group is F-43m (No. 216) and the conventional cell measures 7.608, 7.608 and 7.608 Å, with angles of 90.00, 90.00 and 90.00 degrees. The inequivalent atoms are Pm at (0.000, 0.000, 0.000), Gd at (0.000, 0.000, 0.500), Tm at (0.250, 0.250, 0.250) and Al at (0.250, 0.250, 0.750).

=====

## MnCrCl3 (PBE-GGA)

Data for crystalline MnCrCl3 at its relaxed geometry.

The space group is Pm-3m (No. 221) and the conventional cell measures 4.913, 4.913 and 4.913 Å, with angles of 90.00, 90.00 and 90.00 degrees. The inequivalent atoms are Mn at (0.000, 0.000, 0.000), Cr at (0.500, 0.500, 0.500) and Cl at (0.000, 0.500, 0.500).

=====

## CeErRh2 (PBE-GGA)

Data for crystalline CeErRh2 at its relaxed geometry.

The energy relative to the elements comes out at -0.796 eV/atom.

The space group is P4/mmm (No. 123) and the conventional cell measures 4.875, 4.875 and 3.434 Å, with angles of 90.00, 90.00 and 90.00 degrees. The inequivalent atoms are Ce at (0.000, 0.000, 0.000), Er at (0.500, 0.500, 0.000) and Rh at (0.000, 0.500, 0.500).

=====

## BeCdP (PBE-GGA)

Data for crystalline BeCdP at its relaxed geometry.

The energy relative to the elements comes out at -0.046 eV/atom.

The space group is P1 (No. 1) and the conventional cell measures 3.635, 5.395 and 6.650 Å, with angles of 112.34, 102.91 and 96.11 degrees. The inequivalent atoms are Be at (0.000, 0.000, 0.000), Be at (0.455, 0.453, 0.905), Cd at (0.009, 0.333, 0.453), Cd at (0.534, 0.765, 0.452), P at (0.519, 0.880, 0.097) and P at (0.880, 0.235, 0.809).

=====

## Ca4Dy3Te8 (PBE-GGA)

Data for crystalline Ca4Dy3Te8 at its relaxed geometry.

The space group is R-3m (No. 166, hexagonal axes) and the conventional cell measures 8.8204, 8.8204 and 24.2719 Å, with angles of 90.00, 90.00 and 120.00 degrees. The inequivalent atoms are Ca at (0.0000, 0.0000, 0.0000), Ca at (0.0000, 0.0000, 0.1441), Ca at (0.0000, 0.0000, 0.5000), Dy at (0.0000, 0.5000, 0.0000), Te at (0.0000, 0.0000, 0.2658) and Te at (0.0097, 0.5049, 0.2559).

=====

## FeCoRu2 (PBE-GGA)

Data for crystalline FeCoRu2 at its relaxed geometry.

The energy relative to the elements comes out at 0.247 eV/atom.

The space group is P4/mmm (No. 123) and the conventional cell measures 2.952, 2.952 and 5.848 Å, with angles of 90.00, 90.00 and 90.00 degrees. The inequivalent atoms are Fe at (0.000, 0.000, 0.000), Co at (0.000, 0.000, 0.500) and Ru at (0.500, 0.500, 0.248).

=====

## IrPt2 (PBE-GGA)

Data for crystalline IrPt2 at its relaxed geometry.

The energy relative to the elements comes out at 0.107 eV/atom.

The space group is Cmcm (No. 63) and the conventional cell measures 2.750, 14.431 and 4.647 Å, with angles of 90.00, 90.00 and 90.00 degrees. The inequivalent atoms are Ir at (0.000, 0.224, 0.250), Pt at (0.000, 0.114, 0.750) and Pt at (0.000, 0.444, 0.750).

=====

## MoIrRu (PBE-GGA)

Data for crystalline MoIrRu at its relaxed geometry.

The energy relative to the elements comes out at -0.063 eV/atom.

The space group is I4mm (No. 107) and the conventional cell measures 2.751, 2.751 and 11.675 Å, with angles of 90.00, 90.00 and 90.00 degrees. The inequivalent atoms are Mo at (0.000, 0.000, 0.000), Ir at (0.000, 0.000, 0.668) and Ru at (0.000, 0.000, 0.335).

=====

## ScGaTc3 (PBE-GGA)

Data for crystalline ScGaTc3 at its relaxed geometry.

The energy relative to the elements comes out at 1.010 eV/atom.

The space group is Pm-3m (No. 221) and the conventional cell measures 4.575, 4.575 and 4.575 Å, with angles of 90.00, 90.00 and 90.00 degrees. The inequivalent atoms are Sc at (0.000, 0.000, 0.000), Ga at (0.500, 0.500, 0.500) and Tc at (0.000, 0.500, 0.500).

=====

## PrNi5Sn7 (PBE-GGA)

Data for crystalline PrNi5Sn7 at its relaxed geometry.

The energy relative to the elements comes out at -0.170 eV/atom.

The space group is Imm2 (No. 44) and the conventional cell measures 5.734, 9.621 and 9.030 Å, with angles of 90.00, 90.00 and 90.00 degrees. The inequivalent atoms are Pr at (0.000, 0.000, 0.000), Ni at (0.000, 0.500, 0.248), Ni at (0.232, 0.261, 0.744), Sn at (0.000, 0.000, 0.346), Sn at (0.000, 0.000, 0.666), Sn at (0.000, 0.317, 0.467), Sn at (0.000, 0.329, 0.022) and Sn at (0.000, 0.500, 0.733).

=====

## Nd2MgCu16 (PBE-GGA)

Data for crystalline Nd2MgCu16 at its relaxed geometry.

The energy relative to the elements comes out at -0.121 eV/atom.

The space group is R3m (No. 160, hexagonal axes) and the conventional cell measures 8.6700, 8.6700 and 12.7258 Å, with angles of 90.00, 90.00 and 120.00 degrees. The inequivalent atoms are Nd at (0.0000, 0.0000, 0.0000), Nd at (0.0000, 0.0000, 0.3059), Mg at (0.0000, 0.0000, 0.5660), Cu at (0.0000, 0.0000, 0.7644), Cu at (0.9997, 0.2967, 0.6600), Cu at (0.0008, 0.5004, 0.8133), Cu at (0.0030, 0.5015, 0.5029) and Cu at (0.1679, 0.3359, 0.4925).

=====

## Tc2AgIr (PBE-GGA)

Data for crystalline Tc2AgIr at its relaxed geometry.

The energy relative to the elements comes out at 0.584 eV/atom.

The space group is Pmmm (No. 47) and the conventional cell measures 2.841, 4.575 and 4.739 Å, with angles of 90.00, 90.00 and 90.00 degrees. The inequivalent atoms are Tc at (0.000, 0.000, 0.000), Tc at (0.500, 0.500, 0.000), Ag at (0.000, 0.500, 0.500) and Ir at (0.500, 0.000, 0.500).

=====

## LaCePS (PBE-GGA)

Data for crystalline LaCePS at its relaxed geometry.

The space group is P4/mmm (No. 123) and the conventional cell measures 4.136, 4.136 and 5.872 Å, with angles of 90.00, 90.00 and 90.00 degrees. The inequivalent atoms are La at (0.000, 0.000, 0.000), Ce at (0.500, 0.500, 0.500), P at (0.000, 0.000, 0.500) and S at (0.500, 0.500, 0.000).

=====

## Pu2Si4Ir3Pt (PBE-GGA)

Data for crystalline Pu2Si4Ir3Pt at its relaxed geometry.

The space group is P-4m2 (No. 115) and the conventional cell measures 4.124, 4.124 and 10.056 Å, with angles of 90.00, 90.00 and 90.00 degrees. The inequivalent atoms are Pu at (0.000, 0.500, 0.240), Si at (0.000, 0.000, 0.000), Si at (0.000, 0.500, 0.636), Si at (0.500, 0.500, 0.000), Ir at (0.000, 0.500, 0.873), Ir at (0.500, 0.500, 0.500) and Pt at (0.000, 0.000, 0.500).

=====

## SrMg2SiPt (PBE-GGA)

Data for crystalline SrMg2SiPt at its relaxed geometry.

The space group is P4/mmm (No. 123) and the conventional cell measures 5.076, 5.076 and 4.724 Å, with angles of 90.00, 90.00 and 90.00 degrees. The inequivalent atoms are Sr at (0.000, 0.000, 0.000), Mg at (0.000, 0.500, 0.500), Si at (0.500, 0.500, 0.000) and Pt at (0.500, 0.500, 0.500).

=====

## LiMn3 (PBE-GGA)

Data for crystalline LiMn3 at its relaxed geometry.

The energy relative to the elements comes out at 0.239 eV/atom.

The space group is P-6m2 (No. 187) and the conventional cell measures 2.4939, 2.4939 and 8.6602 Å, with angles of 90.00, 90.00 and 120.00 degrees. The inequivalent atoms are Li at (0.0000, 0.0000, 0.0000), Mn at (0.0000, 0.0000, 0.5000) and Mn at (0.6667, 0.3333, 0.2708).

=====

## CsTbAlS4 (PBE-GGA)

Data for crystalline CsTbAlS4 at its relaxed geometry.

The space group is P2_1/m (No. 11) and the conventional cell measures 6.922, 5.706 and 9.928 Å, with angles of 90.00, 104.54 and 90.00 degrees. The inequivalent atoms are Cs at (0.247, 0.250, 0.038), Tb at (0.253, 0.250, 0.556), Al at (0.257, 0.750, 0.340), S at (0.001, 0.014, 0.309), S at (0.416, 0.750, 0.565) and S at (0.455, 0.750, 0.198).

=====

## Cs2OsS4 (PBE-GGA)

Data for crystalline Cs2OsS4 at its relaxed geometry.

The space group is I4/mmm (No. 139) and the conventional cell measures 4.860, 4.860 and 17.245 Å, with angles of 90.00, 90.00 and 90.00 degrees. The inequivalent atoms are Cs at (0.000, 0.000, 0.149), Os at (0.000, 0.000, 0.500), S at (0.000, 0.000, 0.365) and S at (0.000, 0.500, 0.000).

=====

Final energy for the records above, in order: -5.016, -5.466, -6.846, -5.192, -7.096, -3.396, -4.529, -8.283, -6.874, -9.719, -7.081, -4.916, -4.156, -7.527, -6.954, -9.147, -3.645, -7.116, -5.070, -4.489 eV per atom